# K4La3TiSe8 PBE-GGA relaxed
# energy	-5.05	eV/atom
# ΔE_f (raw)	-1617	meV per atom
data_K4La3TiSe8
_chemical_formula_sum 'K12 La9 Ti3 Se24'
_cell_length_a 8.6223
_cell_length_b 8.6223
_cell_length_c 23.0285
_cell_angle_alpha 90.00
_cell_angle_beta 90.00
_cell_angle_gamma 120.00
_symmetry_space_group_name_H-M 'R -3 m'
_symmetry_Int_Tables_number 166
_symmetry_space_group_name_Hall '-R 3 2"'
loop_
_atom_site_label
_atom_site_type_symbol
_atom_site_fract_x
_atom_site_fract_y
_atom_site_fract_z
_atom_site_occupancy
K1 K 0.0000 0.0000 0.0000 1
K2 K 0.0000 0.5000 0.0000 1
La1 La 0.0000 0.5000 0.5000 1
Ti1 Ti 0.0000 0.0000 0.5000 1
Se1 Se 0.0000 0.0000 0.2391 1
Se2 Se 0.0275 0.5137 0.2338 1